Entry A
First-principles (GGA-PBE) data for crystalline NiHOs2 at its relaxed geometry, as listed in Alexandria via LeMat-Bulk.

a b c (Å): 5.649 5.649 5.649
angles (deg): 90.00 90.00 90.00
Space group Fm-3m (No. 225)
Symmetry-distinct sites (fractional):
Ni  0.000  0.000  0.000 (multiplicity 4)
H  0.000  0.000  0.500 (multiplicity 4)
Os  0.250  0.250  0.250 (multiplicity 8)


Entry B
First-principles (GGA-PBE) data for crystalline NiHOs2 at its relaxed geometry, as listed in Alexandria via LeMat-Bulk.

a b c (Å): 5.901 5.901 5.007
angles (deg): 90.00 90.00 90.00
Space group I-42d (No. 122)
Symmetry-distinct sites (fractional):
Ni  0.000  0.000  0.000 (multiplicity 4)
H  0.000  0.000  0.500 (multiplicity 4)
Os  0.162  0.250  0.625 (multiplicity 8)


Last place for stability: entry A


Entry A
First-principles (GGA-PBE) data for crystalline Ta2NiHOs at its relaxed geometry, as listed in Alexandria via LeMat-Bulk.

a b c (Å): 4.079 4.079 3.840
angles (deg): 90.00 90.00 90.00
Space group P4/mmm (No. 123)
Symmetry-distinct sites (fractional):
Ta  0.000  0.500  0.000 (multiplicity 2)
Ni  0.000  0.000  0.500 (multiplicity 1)
H  0.500  0.500  0.000 (multiplicity 1)
Os  0.500  0.500  0.500 (multiplicity 1)


Entry B
First-principles (GGA-PBE) data for crystalline Ta2NiHOs at its relaxed geometry, as listed in Alexandria via LeMat-Bulk.

a b c (Å): 4.125 4.125 3.716
angles (deg): 90.00 90.00 90.00
Space group P4/mmm (No. 123)
Symmetry-distinct sites (fractional):
Ta  0.000  0.500  0.000 (multiplicity 2)
Ni  0.000  0.000  0.500 (multiplicity 1)
H  0.000  0.000  0.000 (multiplicity 1)
Os  0.500  0.500  0.500 (multiplicity 1)


Last place for stability: entry A


Entry A
First-principles (GGA-PBE) data for crystalline TaNiHOs2 at its relaxed geometry, as listed in Alexandria via LeMat-Bulk.

a b c (Å): 3.980 3.980 3.751
angles (deg): 90.00 90.00 90.00
Space group P4/mmm (No. 123)
Symmetry-distinct sites (fractional):
Ta  0.000  0.000  0.000 (multiplicity 1)
Ni  0.500  0.500  0.000 (multiplicity 1)
H  0.500  0.500  0.500 (multiplicity 1)
Os  0.000  0.500  0.500 (multiplicity 2)


Entry B
First-principles (GGA-PBE) data for crystalline TaNiHOs2 at its relaxed geometry, as listed in Alexandria via LeMat-Bulk.

a b c (Å): 3.897 3.897 3.950
angles (deg): 90.00 90.00 90.00
Space group P4/mmm (No. 123)
Symmetry-distinct sites (fractional):
Ta  0.000  0.000  0.000 (multiplicity 1)
Ni  0.500  0.500  0.000 (multiplicity 1)
H  0.000  0.000  0.500 (multiplicity 1)
Os  0.000  0.500  0.500 (multiplicity 2)


Last place for stability: entry B